1.
{
  "formula": "CsAl2Te2",
  "functional": "PBE",
  "state": "optimized geometry",
  "lattice": [[-2.688, 2.688, 6.582], [2.688, -2.688, 6.582], [2.688, 2.688, -6.582]],
  "species": ["Cs", "Al", "Al", "Te", "Te"],
  "frac_coords": [[0.000, 0.000, 0.000], [0.250, 0.750, 0.500], [0.750, 0.250, 0.500], [0.331, 0.331, 0.000], [0.669, 0.669, 0.000]],
  "crystal_system": "tetragonal",
  "total_magnetization_mub_per_atom": 0.00,
  "mass_density_g_cm3": 3.9,
  "raw_formation_energy_mev_per_atom": -289,
  "sg": "I4/mmm",
  "final_energy_ev_per_fu": -16.1
}



2.
{
  "formula": "Pm2Dy4Tm7",
  "functional": "PBE",
  "state": "optimized geometry",
  "lattice": [[6.006, 0.000, 0.000], [-3.003, 5.201, 0.000], [0.000, 0.000, 13.331]],
  "species": ["Pm", "Pm", "Dy", "Dy", "Dy", "Dy", "Tm", "Tm", "Tm", "Tm", "Tm", "Tm", "Tm"],
  "frac_coords": [[0.333, 0.667, 0.000], [0.667, 0.333, 0.000], [0.000, 0.000, 0.395], [0.000, 0.000, 0.605], [0.333, 0.667, 0.500], [0.667, 0.333, 0.500], [0.000, 0.000, 0.000], [0.000, 0.348, 0.214], [0.000, 0.652, 0.786], [0.348, 0.000, 0.214], [0.348, 0.348, 0.786], [0.652, 0.000, 0.786], [0.652, 0.652, 0.214]],
  "crystal_system": "trigonal",
  "total_magnetization_mub_per_atom": 0.00,
  "mass_density_g_cm3": 8.5,
  "delta_e_f_kj_per_mol_atoms": 18,
  "sg": "P-31m",
  "final_energy_ev_per_fu": -56.8
}



3.
{
  "formula": "BeReTc3",
  "functional": "PBE",
  "state": "optimized geometry",
  "lattice": [[4.674, 0.000, 0.000], [0.000, 4.674, 0.000], [0.000, 0.000, 4.674]],
  "species": ["Be", "Re", "Tc", "Tc", "Tc"],
  "frac_coords": [[0.000, 0.000, 0.000], [0.500, 0.500, 0.500], [0.000, 0.500, 0.500], [0.500, 0.000, 0.500], [0.500, 0.500, 0.000]],
  "crystal_system": "cubic",
  "total_magnetization_mub_per_atom": 0.37,
  "mass_density_g_cm3": 8.0,
  "delta_e_f_kj_per_mol_atoms": 190,
  "sg": "Pm-3m",
  "final_energy_ev_per_fu": -37.4
}



4.
{
  "formula": "LiSc2As",
  "functional": "PBE",
  "state": "optimized geometry",
  "lattice": [[-3.785, 3.785, 3.071], [3.785, -3.785, 3.071], [3.785, 3.785, -3.071]],
  "species": ["Li", "Li", "Sc", "Sc", "Sc", "Sc", "As", "As"],
  "frac_coords": [[0.000, 0.000, 0.000], [0.750, 0.250, 0.500], [0.154, 0.625, 0.029], [0.375, 0.404, 0.529], [0.596, 0.125, 0.971], [0.875, 0.846, 0.471], [0.250, 0.750, 0.500], [0.500, 0.500, 0.000]],
  "crystal_system": "tetragonal",
  "total_magnetization_mub_per_atom": 0.00,
  "mass_density_g_cm3": 3.2,
  "delta_e_f_kj_per_mol_atoms": -25,
  "sg": "I-42d",
  "final_energy_ev_per_fu": -20.3
}



5.
{
  "formula": "ErZn10Au2",
  "functional": "PBE",
  "state": "optimized geometry",
  "lattice": [[4.488, -5.253, 0.000], [4.488, 5.253, 0.000], [0.000, 0.000, 9.071]],
  "species": ["Er", "Er", "Zn", "Zn", "Zn", "Zn", "Zn", "Zn", "Zn", "Zn", "Zn", "Zn", "Zn", "Zn", "Zn", "Zn", "Zn", "Zn", "Zn", "Zn", "Zn", "Zn", "Au", "Au", "Au", "Au"],
  "frac_coords": [[0.131, 0.869, 0.750], [0.869, 0.131, 0.250], [0.141, 0.377, 0.750], [0.150, 0.850, 0.106], [0.150, 0.850, 0.394], [0.217, 0.217, 0.000], [0.217, 0.217, 0.500], [0.234, 0.477, 0.250], [0.377, 0.141, 0.250], [0.396, 0.604, 0.580], [0.396, 0.604, 0.920], [0.477, 0.234, 0.750], [0.523, 0.766, 0.250], [0.604, 0.396, 0.080], [0.604, 0.396, 0.420], [0.623, 0.859, 0.750], [0.766, 0.523, 0.750], [0.783, 0.783, 0.000], [0.783, 0.783, 0.500], [0.850, 0.150, 0.606], [0.850, 0.150, 0.894], [0.859, 0.623, 0.250], [0.000, 0.500, 0.000], [0.000, 0.500, 0.500], [0.500, 0.000, 0.000], [0.500, 0.000, 0.500]],
  "crystal_system": "orthorhombic",
  "total_magnetization_mub_per_atom": 0.00,
  "mass_density_g_cm3": 9.4,
  "delta_e_f_kj_per_mol_atoms": -22,
  "sg": "Cmcm",
  "final_energy_ev_per_fu": -26.8
}



6.
{
  "formula": "BaNa2UTe4",
  "functional": "PBE",
  "state": "optimized geometry",
  "lattice": [[-3.236, 3.241, 7.050], [3.236, -3.241, 7.050], [3.236, 3.241, -7.050]],
  "species": ["Ba", "Na", "Na", "U", "Te", "Te", "Te", "Te"],
  "frac_coords": [[0.000, 0.000, 0.000], [0.250, 0.750, 0.500], [0.500, 0.500, 0.000], [0.750, 0.250, 0.500], [0.252, 0.252, 0.000], [0.538, 0.038, 0.500], [0.748, 0.748, 0.000], [0.962, 0.462, 0.500]],
  "crystal_system": "orthorhombic",
  "total_magnetization_mub_per_atom": 0.25,
  "mass_density_g_cm3": 5.2,
  "raw_formation_energy_mev_per_atom": -989,
  "sg": "Imm2",
  "final_energy_ev_per_fu": -36.3
}



7.
{
  "formula": "V2Ni7Au",
  "functional": "PBE",
  "state": "optimized geometry",
  "lattice": [[2.361, -10.403, 0.000], [2.361, 10.403, 0.000], [0.000, 0.000, 2.521]],
  "species": ["V", "V", "Ni", "Ni", "Ni", "Ni", "Ni", "Ni", "Ni", "Au"],
  "frac_coords": [[0.204, 0.796, 0.000], [0.796, 0.204, 0.000], [0.000, 0.000, 0.000], [0.142, 0.352, 0.000], [0.309, 0.691, 0.500], [0.352, 0.142, 0.000], [0.648, 0.858, 0.000], [0.691, 0.309, 0.500], [0.858, 0.648, 0.000], [0.500, 0.500, 0.500]],
  "crystal_system": "orthorhombic",
  "total_magnetization_mub_per_atom": 0.00,
  "mass_density_g_cm3": 9.5,
  "delta_e_f_kj_per_mol_atoms": 9,
  "sg": "Cmmm",
  "final_energy_ev_per_fu": -61.0
}



8.
{
  "formula": "TiFe3Ni",
  "functional": "PBE",
  "state": "optimized geometry",
  "lattice": [[4.298, 0.000, 0.000], [0.000, 4.298, 0.000], [0.000, 0.000, 4.298]],
  "species": ["Ti", "Fe", "Fe", "Fe", "Ni"],
  "frac_coords": [[0.000, 0.000, 0.000], [0.000, 0.500, 0.500], [0.500, 0.000, 0.500], [0.500, 0.500, 0.000], [0.500, 0.500, 0.500]],
  "crystal_system": "cubic",
  "total_magnetization_mub_per_atom": 1.44,
  "mass_density_g_cm3": 5.7,
  "delta_e_f_kj_per_mol_atoms": 77,
  "sg": "Pm-3m",
  "final_energy_ev_per_fu": -35.1
}